Compound: MgNiBi2
Source: the Open Quantum Materials Database
Functional: PBE
Structure: optimized geometry

The space group is F-43m (No. 216) and the conventional cell measures 7.291, 7.291 and 7.291 Å, with angles of 90.00, 90.00 and 90.00 degrees. Symmetry generates all atoms from Mg at (0.000, 0.000, 0.000), Ni at (0.250, 0.250, 0.250), Bi at (0.000, 0.000, 0.500) and Bi at (0.250, 0.250, 0.750).

Its calculated density is 8.586 g/cm³. The total energy comes out at -14.0 eV/f.u.

Compound: TmGaO3
Source: the Open Quantum Materials Database
Functional: PBE
Structure: optimized geometry

The space group is P4mm (No. 99) and the conventional cell measures 3.592, 3.592 and 4.674 Å, with angles of 90.00, 90.00 and 90.00 degrees. Symmetry generates all atoms from Tm at (0.000, 0.000, 0.000), Ga at (0.500, 0.500, 0.574), O at (0.000, 0.500, 0.722) and O at (0.500, 0.500, 0.181).

Its calculated density is 7.893 g/cm³. The total energy comes out at -35.3 eV/f.u.

Compound: CsCu3ReSe4
Source: the Open Quantum Materials Database
Functional: PBE
Structure: optimized geometry

The space group is P-43m (No. 215) and the conventional cell measures 6.332, 6.332 and 6.332 Å, with angles of 90.00, 90.00 and 90.00 degrees. Symmetry generates all atoms from Cs at (0.000, 0.000, 0.000), Cu at (0.000, 0.500, 0.500), Re at (0.500, 0.500, 0.500) and Se at (0.286, 0.286, 0.286).

Its calculated density is 5.399 g/cm³. The total energy comes out at -38.6 eV/f.u.

Compound: LaDyB2Ir2N2
Source: the Open Quantum Materials Database
Functional: PBE
Structure: optimized geometry

The space group is P4mm (No. 99) and the conventional cell measures 3.810, 3.810 and 7.529 Å, with angles of 90.00, 90.00 and 90.00 degrees. Symmetry generates all atoms from La at (0.000, 0.000, 0.000), Dy at (0.500, 0.500, 0.668), B at (0.000, 0.000, 0.483), B at (0.500, 0.500, 0.180), Ir at (0.000, 0.500, 0.337), N at (0.000, 0.000, 0.681) and N at (0.500, 0.500, 0.980).

Its calculated density is 11.176 g/cm³. The total energy comes out at -66.2 eV/f.u.

Compound: Lu3O2F5
Source: the Open Quantum Materials Database
Functional: PBE
Structure: optimized geometry

The space group is Pnma (No. 62) and the conventional cell measures 5.435, 16.594 and 5.165 Å, with angles of 90.00, 90.00 and 90.00 degrees. Symmetry generates all atoms from Lu at (0.174, 0.097, 0.038), Lu at (0.238, 0.250, 0.457), O at (0.038, 0.668, 0.700), F at (0.113, 0.250, 0.861), F at (0.114, 0.513, 0.780) and F at (0.167, 0.625, 0.172).

Its calculated density is 9.296 g/cm³. The total energy comes out at -73.2 eV/f.u.

Compound: BeGaTcW
Source: the Open Quantum Materials Database
Functional: PBE
Structure: optimized geometry

The space group is F-43m (No. 216) and the conventional cell measures 6.023, 6.023 and 6.023 Å, with angles of 90.00, 90.00 and 90.00 degrees. Symmetry generates all atoms from Be at (0.000, 0.000, 0.000), Ga at (0.250, 0.250, 0.250), Tc at (0.000, 0.000, 0.500) and W at (0.250, 0.250, 0.750).

Its calculated density is 10.960 g/cm³. The total energy comes out at -30.0 eV/f.u.

Compound: GdHoCuS3
Source: the Open Quantum Materials Database
Functional: PBE
Structure: optimized geometry

The space group is Cmcm (No. 63) and the conventional cell measures 3.762, 12.611 and 10.100 Å, with angles of 90.00, 90.00 and 90.00 degrees. Symmetry generates all atoms from Gd at (0.000, 0.233, 0.250), Ho at (0.000, 0.000, 0.000), Cu at (0.000, 0.478, 0.750), S at (0.000, 0.093, 0.750) and S at (0.000, 0.356, 0.577).

Its calculated density is 6.679 g/cm³. The total energy comes out at -34.7 eV/f.u.

Compound: Dy2HoSc3Te2Os
Source: the Open Quantum Materials Database
Functional: PBE
Structure: optimized geometry

The space group is Amm2 (No. 38) and the conventional cell measures 4.022, 13.752 and 7.913 Å, with angles of 90.00, 90.00 and 90.00 degrees. Symmetry generates all atoms from Dy at (0.000, 0.194, 0.000), Ho at (0.000, 0.000, 0.419), Sc at (0.500, 0.000, 0.037), Sc at (0.500, 0.116, 0.690), Te at (0.500, 0.166, 0.306) and Os at (0.000, 0.000, 0.803).

Its calculated density is 8.122 g/cm³. The total energy comes out at -57.2 eV/f.u.

Compound: Rb3Hg11
Source: the Open Quantum Materials Database
Functional: PBE
Structure: optimized geometry

The space group is Cm (No. 8) and the conventional cell measures 15.165, 8.496 and 7.817 Å, with angles of 90.00, 119.74 and 90.00 degrees. Symmetry generates all atoms from Rb at (0.000, 0.000, 0.000), Rb at (0.146, 0.500, 0.168), Rb at (0.348, 0.000, 0.851), Hg at (0.000, 0.500, 0.572), Hg at (0.119, 0.191, 0.444), Hg at (0.138, 0.199, 0.844), Hg at (0.237, 0.500, 0.750), Hg at (0.264, 0.000, 0.274), Hg at (0.364, 0.308, 0.564) and Hg at (0.376, 0.302, 0.194).

Its calculated density is 9.353 g/cm³. The total energy comes out at -7.9 eV/f.u.

Compound: K2HfScSe6
Source: the Open Quantum Materials Database
Functional: PBE
Structure: optimized geometry

The space group is Fm-3m (No. 225) and the conventional cell measures 10.513, 10.513 and 10.513 Å, with angles of 90.00, 90.00 and 90.00 degrees. Symmetry generates all atoms from K at (0.250, 0.250, 0.250), Hf at (0.000, 0.000, 0.000), Sc at (0.000, 0.000, 0.500) and Se at (0.000, 0.000, 0.249).

Its calculated density is 4.432 g/cm³. The total energy comes out at -50.0 eV/f.u.

Compound: Au2Se3
Source: the Open Quantum Materials Database
Functional: PBE
Structure: optimized geometry

The space group is R-3m (No. 166, hexagonal axes) and the conventional cell measures 3.8465, 3.8465 and 24.2370 Å, with angles of 90.00, 90.00 and 120.00 degrees. Symmetry generates all atoms from Au at (0.0000, 0.0000, 0.0986), Se at (0.0000, 0.0000, 0.2937) and Se at (0.0000, 0.0000, 0.5000).

Its calculated density is 10.119 g/cm³. The total energy comes out at -16.7 eV/f.u.

Compound: ThMgAu
Source: the Open Quantum Materials Database
Functional: PBE
Structure: optimized geometry

The space group is F-43m (No. 216) and the conventional cell measures 6.800, 6.800 and 6.800 Å, with angles of 90.00, 90.00 and 90.00 degrees. Symmetry generates all atoms from Th at (0.000, 0.000, 0.000), Mg at (0.250, 0.250, 0.750) and Au at (0.000, 0.000, 0.500).

Its calculated density is 9.575 g/cm³. The total energy comes out at -11.8 eV/f.u.